Entry 1:
Compound: CoSi2Pt
Source: Alexandria via LeMat-Bulk
Functional: PBE-GGA
Structure: relaxed

Structure (extended XYZ):
```
4
Lattice="3.2306 0.0000 0.0000 0.0000 3.2306 0.0000 0.0000 0.0000 5.0166" Properties=species:S:1:pos:R:3 pbc="T T T"
Co 0.0000 0.0000 0.0000
Si 0.0000 0.0000 2.7483
Si 1.6153 1.6153 4.2915
Pt 1.6153 1.6153 1.7759
```

Summary:
The formation energy (no corrections) is -11.3 kcal/mol of atoms. The total magnetization comes out at 0.0 μB per formula unit.

Entry 2:
Compound: CoSiPt
Source: Alexandria via LeMat-Bulk
Functional: PBE-GGA
Structure: relaxed

Structure (extended XYZ):
```
3
Lattice="-1.4111 1.4111 4.7682 1.4111 -1.4111 4.7682 1.4111 1.4111 -4.7682" Properties=species:S:1:pos:R:3 pbc="T T T"
Co 0.0000 0.0000 0.0000
Si 0.0000 0.0000 5.9375
Pt 0.0000 0.0000 2.7845
```

Summary:
The formation energy (no corrections) is -8.9 kcal/mol of atoms. The total magnetization comes out at 0.0 μB per formula unit.

Entry 3:
Compound: Co2SiPt
Source: Alexandria via LeMat-Bulk
Functional: PBE-GGA
Structure: relaxed

Structure (extended XYZ):
```
4
Lattice="4.1978 -1.3608 0.0000 4.1978 1.3608 0.0000 -1.0799 0.0000 4.3194" Properties=species:S:1:pos:R:3 pbc="T T T"
Co 0.0000 0.0000 0.0000
Co 1.2167 0.0000 3.5037
Si 3.7562 0.0000 2.3974
Pt 6.1214 0.0000 1.3595
```

Summary:
The formation energy (no corrections) is -5.8 kcal/mol of atoms. The total magnetization comes out at 2.4 μB per formula unit.